(1)
The following is a SCAN calculation of AlAg at its PBEsol-relaxed geometry, from the Alexandria database.

abc: 2.9136 2.9136 8.8425
angles: 90.00 90.00 120.00
Space group P-3m1 (No. 164)
One atom of each set of equivalent atoms:
Al  0.3333  0.6667  0.1239 x2
Ag  0.3333  0.6667  0.6335 x2

Results
As for the total magnetization: 0.000 μB/cell. The formation energy is -0.09 eV/f.u. As for the density of states at the Fermi level: 0.99 states/eV per cell. The total DFT energy (no corrections) comes out at -19.61 eV per atom. The calculation puts the volume at 16.3 Å³ per atom.

(2)
The following is a SCAN calculation of AlAg at its PBEsol-relaxed geometry, from the Alexandria database.

abc: 2.848 2.848 16.049
angles: 90.00 90.00 90.00
Space group P4/nmm (No. 129, origin choice 2)
One atom of each set of equivalent atoms:
Al  0.250  0.250  0.064 x2
Al  0.250  0.250  0.812 x2
Ag  0.250  0.250  0.306 x2
Ag  0.250  0.250  0.564 x2

Results
As for the total magnetization: 0.029 μB/cell. The formation energy is -0.06 eV/f.u. As for the density of states at the Fermi level: 2.61 states/eV per cell. The total DFT energy (no corrections) comes out at -19.59 eV per atom. The calculation puts the volume at 16.3 Å³ per atom.